Material: BaCaZn2Cu2
Method: DFT, GGA-PBE
State: optimized geometry

POSCAR file:
```
BaCaZn2Cu2
1.0
4.542 0.000 0.000
-2.271 3.934 0.000
0.000 0.000 7.961
Ba Ca Zn Cu
1 1 2 2
direct
0.000 0.000 0.000
0.000 0.000 0.500
0.333 0.667 0.302
0.667 0.333 0.698
0.333 0.667 0.696
0.667 0.333 0.304
```

Values from the calculation:
raw total energy: -2.60 eV per atom
density of states at the Fermi level: 3.575 states/eV/f.u.
E_form: -0.1594 eV per atom

***

Material: HgBi3Au
Method: DFT, GGA-PBE
State: optimized geometry

POSCAR file:
```
HgBi3Au
1.0
5.622 0.000 0.000
0.000 9.107 0.000
-2.802 0.000 6.059
Hg Bi Au
2 6 2
direct
0.155 0.250 0.189
0.845 0.750 0.811
0.063 0.750 0.379
0.452 0.053 0.744
0.452 0.447 0.744
0.548 0.553 0.256
0.548 0.947 0.256
0.937 0.250 0.621
0.362 0.750 0.862
0.638 0.250 0.138
```

Values from the calculation:
energy above the most stable polymorph in this dataset: 0.2 kJ/mol of atoms
raw total energy: -3.00 eV per atom
density of states at the Fermi level: 1.402 states/eV/f.u.
E_form: 0.0394 eV per atom

***

Material: LiSi2As
Method: DFT, GGA-PBE
State: optimized geometry

POSCAR file:
```
LiSi2As
1.0
9.012 0.000 0.000
0.000 2.824 0.000
-2.184 0.000 5.450
Li Si As
2 4 2
direct
0.000 0.000 0.000
0.500 0.500 0.000
0.133 0.500 0.663
0.337 0.000 0.559
0.633 0.000 0.663
0.837 0.500 0.559
0.299 0.000 0.119
0.799 0.500 0.119
```

Values from the calculation:
raw total energy: -4.23 eV per atom
density of states at the Fermi level: 1.291 states/eV/f.u.

***

Material: Ba2ScSe
Method: DFT, GGA-PBE
State: optimized geometry

POSCAR file:
```
Ba2ScSe
1.0
5.863 0.000 0.000
0.000 5.863 0.000
0.000 0.000 4.090
Ba Sc Se
2 1 1
direct
0.000 0.500 0.000
0.500 0.000 0.000
0.000 0.000 0.500
0.500 0.500 0.500
```

Values from the calculation:
raw total energy: -3.82 eV per atom
density of states at the Fermi level: 4.226 states/eV/f.u.